The following is a PBE-GGA calculation of a geometry-optimized CeAl4Si2Ir structure, from Alexandria.

Computed properties:
**Raw total energy**: -0.4199 Ry per atom
**DOS at the Fermi energy**: 5.18 states/eV/cell
**Crystal system**: tetragonal
**Calculated volume**: 143.9 Å³/f.u.

Structure (extended XYZ):
```
8
Lattice="4.253 0.000 0.000 0.000 4.253 0.000 0.000 0.000 7.958" Properties=species:S:1:pos:R:3 pbc="T T T"
Ce 0.000 0.000 0.000
Al 0.000 2.126 2.626
Al 0.000 2.126 5.332
Al 2.126 0.000 2.626
Al 2.126 0.000 5.332
Si 2.126 2.126 1.135
Si 2.126 2.126 6.823
Ir 0.000 0.000 3.979
```